1.
Computed, not measured: a geometry-optimized Li2ZnGe structure at the PBE-GGA level of DFT.

Values from the calculation:
- Electronic total energy: -2.76 eV per atom
- Calculated formation energy: -334.4 meV/atom
- SG: No. 164
- D(E_F): 0.34 states/eV/f.u.

Lattice parameters (Å, degrees): 4.300 4.300 8.258 90.00 90.00 120.00
Fractional coordinates of all 8 atoms:
Ge1 0.667 0.333 0.250
Ge2 0.333 0.667 0.750
Zn1 0.000 0.000 0.249
Zn2 0.000 0.000 0.751
Li1 0.333 0.667 0.417
Li2 0.333 0.667 0.082
Li3 0.667 0.333 0.583
Li4 0.667 0.333 0.918


2.
Computed, not measured: a geometry-optimized NaCoRu3 structure at the PBE-GGA level of DFT.

Values from the calculation:
- Electronic total energy: -5.85 eV per atom
- Calculated formation energy: 1397.3 meV/atom
- SG: No. 221
- D(E_F): 10.12 states/eV/f.u.

Lattice parameters (Å, degrees): 4.472 4.472 4.472 90.00 90.00 90.00
Fractional coordinates of all 5 atoms:
Ru1 0.000 0.500 0.000
Ru2 0.000 0.000 0.500
Ru3 0.500 0.000 0.000
Co1 0.000 0.000 0.000
Na1 0.500 0.500 0.500


3.
Computed, not measured: a geometry-optimized Cs2AgSbTe4 structure at the PBE-GGA level of DFT.

Values from the calculation:
- Electronic total energy: -3.09 eV per atom
- SG: No. 70
- Raw formation energy: -0.436 eV per atom
- D(E_F): 0.49 states/eV/f.u.

Lattice parameters (Å, degrees): 7.068 8.283 14.428 84.00 75.82 64.74
Fractional coordinates of all 16 atoms:
Cs1 0.183 0.000 0.634
Cs2 0.817 0.000 0.366
Cs3 0.567 0.500 0.866
Cs4 0.933 0.500 0.134
Ag1 0.750 0.500 0.500
Ag2 0.000 0.000 0.000
Sb1 0.250 0.500 0.500
Sb2 0.500 0.000 0.000
Te1 0.321 0.786 0.109
Te2 0.217 0.214 0.891
Te3 0.892 0.786 0.891
Te4 0.569 0.214 0.109
Te5 0.429 0.714 0.391
Te6 0.533 0.286 0.609
Te7 0.858 0.714 0.609
Te8 0.181 0.286 0.391


4.
Computed, not measured: a geometry-optimized Ca3Ga8Pd3 structure at the PBE-GGA level of DFT.

Values from the calculation:
- Electronic total energy: -3.87 eV per atom
- Calculated formation energy: -601.4 meV/atom
- SG: No. 12
- D(E_F): 5.58 states/eV/f.u.

Lattice parameters (Å, degrees): 4.432 8.163 8.421 67.19 74.74 74.25
Fractional coordinates of all 14 atoms:
Ca1 0.292 0.716 0.699
Ca2 0.708 0.284 0.301
Ca3 0.000 0.000 0.000
Ga1 0.140 0.144 0.577
Ga2 0.860 0.856 0.423
Ga3 0.861 0.433 0.846
Ga4 0.139 0.567 0.154
Ga5 0.503 0.674 0.320
Ga6 0.497 0.326 0.680
Ga7 0.345 0.033 0.277
Ga8 0.655 0.967 0.723
Pd1 0.000 0.500 0.500
Pd2 0.662 0.679 0.997
Pd3 0.338 0.321 0.003


5.
Computed, not measured: a geometry-optimized MnV2Ir5Ru structure at the PBE-GGA level of DFT.

Values from the calculation:
- Electronic total energy: -8.74 eV per atom
- Calculated formation energy: 262.4 meV/atom
- SG: No. 140
- D(E_F): 9.49 states/eV/f.u.

Lattice parameters (Å, degrees): 7.140 7.140 7.403 118.83 118.83 90.00
Fractional coordinates of all 18 atoms:
Mn1 0.250 0.250 0.500
Mn2 0.750 0.750 0.500
V1 0.106 0.394 0.000
V2 0.606 0.106 0.000
V3 0.394 0.894 0.000
V4 0.894 0.606 0.000
Ir1 0.924 0.424 0.250
Ir2 0.674 0.174 0.750
Ir3 0.076 0.576 0.750
Ir4 0.174 0.076 0.750
Ir5 0.576 0.674 0.750
Ir6 0.826 0.924 0.250
Ir7 0.424 0.326 0.250
Ir8 0.326 0.826 0.250
Ir9 0.500 0.500 0.000
Ir10 0.000 0.000 0.000
Ru1 0.250 0.750 0.500
Ru2 0.750 0.250 0.500


6.
Computed, not measured: a geometry-optimized UTcSn2 structure at the PBE-GGA level of DFT.

Values from the calculation:
- Electronic total energy: -7.42 eV per atom
- Calculated formation energy: -0.4 meV/atom
- SG: No. 11
- D(E_F): 5.76 states/eV/f.u.

Lattice parameters (Å, degrees): 3.949 5.410 8.717 90.00 90.00 105.09
Fractional coordinates of all 8 atoms:
U1 0.048 0.115 0.250
U2 0.952 0.885 0.750
Tc1 0.817 0.469 0.250
Tc2 0.183 0.531 0.750
Sn1 0.379 0.719 0.059
Sn2 0.379 0.719 0.441
Sn3 0.621 0.281 0.941
Sn4 0.621 0.281 0.559


7.
Computed, not measured: a geometry-optimized PaGaTe2 structure at the PBE-GGA level of DFT.

Values from the calculation:
- Electronic total energy: -5.25 eV per atom
- SG: No. 123
- Raw formation energy: -0.546 eV per atom
- D(E_F): 3.85 states/eV/f.u.

Lattice parameters (Å, degrees): 3.861 3.861 7.011 90.00 90.00 90.00
Fractional coordinates of all 4 atoms:
Pa1 0.500 0.500 0.000
Te1 0.000 0.000 0.763
Te2 0.000 0.000 0.237
Ga1 0.500 0.500 0.500


8.
Computed, not measured: a geometry-optimized Sm2Co2Ni15 structure at the PBE-GGA level of DFT.

Values from the calculation:
- Electronic total energy: -5.97 eV per atom
- Calculated formation energy: -164.7 meV/atom
- SG: No. 166
- D(E_F): 23.17 states/eV/f.u.

Lattice parameters (Å, degrees): 6.287 6.287 6.287 82.91 82.91 82.91
Fractional coordinates of all 19 atoms:
Sm1 0.342 0.342 0.342
Sm2 0.658 0.658 0.658
Co1 0.093 0.093 0.093
Co2 0.907 0.907 0.907
Ni1 0.500 0.000 0.000
Ni2 0.000 0.000 0.500
Ni3 0.000 0.500 0.000
Ni4 0.000 0.706 0.294
Ni5 0.706 0.294 0.000
Ni6 0.294 0.000 0.706
Ni7 0.294 0.706 0.000
Ni8 0.706 0.000 0.294
Ni9 0.000 0.294 0.706
Ni10 0.152 0.658 0.658
Ni11 0.658 0.658 0.152
Ni12 0.658 0.152 0.658
Ni13 0.848 0.342 0.342
Ni14 0.342 0.342 0.848
Ni15 0.342 0.848 0.342


9.
Computed, not measured: a geometry-optimized LiHoThIn structure at the PBE-GGA level of DFT.

Values from the calculation:
- Electronic total energy: -4.28 eV per atom
- Calculated formation energy: -121.2 meV/atom
- SG: No. 216
- D(E_F): 3.04 states/eV/f.u.

Lattice parameters (Å, degrees): 5.324 5.324 5.324 60.00 60.00 60.00
Fractional coordinates of all 4 atoms:
Li1 0.000 0.000 0.000
Ho1 0.750 0.750 0.750
Th1 0.250 0.250 0.250
In1 0.500 0.500 0.500


10.
Computed, not measured: a geometry-optimized PuAgBi2 structure at the PBE-GGA level of DFT.

Values from the calculation:
- Electronic total energy: -6.18 eV per atom
- Calculated formation energy: 61.1 meV/atom
- SG: No. 166
- D(E_F): 9.09 states/eV/f.u.

Lattice parameters (Å, degrees): 3.495 3.495 11.232 81.05 81.05 60.00
Fractional coordinates of all 4 atoms:
Bi1 0.085 0.085 0.746
Bi2 0.915 0.915 0.254
Ag1 0.000 0.000 0.000
Pu1 0.500 0.500 0.500


11.
Computed, not measured: a geometry-optimized Ba3CdAg2O6 structure at the PBE-GGA level of DFT.

Values from the calculation:
- Electronic total energy: -4.77 eV per atom
- SG: No. 164
- Raw formation energy: -1.257 eV per atom
- D(E_F): 5.38 states/eV/f.u.

Lattice parameters (Å, degrees): 6.231 6.231 6.815 90.00 90.00 120.00
Fractional coordinates of all 12 atoms:
Ba1 0.333 0.667 0.615
Ba2 0.667 0.333 0.385
Ba3 0.000 0.000 0.000
Cd1 0.000 0.000 0.500
Ag1 0.667 0.333 0.869
Ag2 0.333 0.667 0.131
O1 0.667 0.833 0.305
O2 0.167 0.333 0.305
O3 0.167 0.833 0.305
O4 0.833 0.667 0.695
O5 0.333 0.167 0.695
O6 0.833 0.167 0.695


12.
Computed, not measured: a geometry-optimized NaHfSi2 structure at the PBE-GGA level of DFT.

Values from the calculation:
- Electronic total energy: -5.35 eV per atom
- SG: No. 225
- Raw formation energy: 0.175 eV per atom
- D(E_F): 4.70 states/eV/f.u.

Lattice parameters (Å, degrees): 4.700 4.700 4.700 60.00 60.00 60.00
Fractional coordinates of all 4 atoms:
Na1 0.000 0.000 0.000
Si1 0.250 0.250 0.250
Si2 0.750 0.750 0.750
Hf1 0.500 0.500 0.500